a | Material: Sr3In2As4
Method: DFT, GGA-PBE
State: relaxed

extended XYZ file:
```
9
Lattice="4.411 0.000 0.000 -2.205 7.217 -1.624 0.000 -5.197 10.030" Properties=species:S:1:pos:R:3 pbc="T T T"
Sr 2.205 -2.339 7.488
Sr 0.000 0.000 0.000
Sr 0.000 4.359 0.917
In 2.205 1.072 2.807
In 0.000 0.948 5.599
As 2.205 2.228 0.455
As 0.000 -0.208 7.951
As 2.205 2.594 5.070
As 0.000 -0.574 3.335
```

ρ in g/cm3: 4.66
SG: C2/m

=====

b | Material: Sr3In2As4
Method: DFT, GGA-PBE
State: relaxed

extended XYZ file:
```
18
Lattice="4.488 0.000 0.000 0.000 7.063 0.000 0.000 0.000 16.776" Properties=species:S:1:pos:R:3 pbc="T T T"
Sr 0.000 2.111 13.447
Sr 2.244 5.643 11.717
Sr 0.000 4.952 3.329
Sr 2.244 1.421 5.059
Sr 0.000 0.000 0.000
Sr 2.244 3.532 8.388
In 0.000 6.108 6.956
In 2.244 2.577 1.432
In 0.000 0.955 9.820
In 2.244 4.486 15.344
As 2.244 1.803 15.600
As 2.244 5.260 1.176
As 0.000 1.683 2.807
As 0.000 1.729 7.212
As 2.244 5.214 5.581
As 0.000 5.380 13.970
As 0.000 5.335 9.564
As 2.244 1.849 11.195
```

ρ in g/cm3: 4.95
SG: Pnnm

=====

Which structure wins on stability? b wins.

=====

a | Material: TaInAs
Method: DFT, GGA-PBE
State: relaxed

extended XYZ file:
```
3
Lattice="-0.908 -5.470 -0.851 0.626 -4.297 3.552 -2.137 5.149 -0.628" Properties=species:S:1:pos:R:3 pbc="T T T"
As -0.008 -0.288 0.080
In -0.094 -3.248 0.898
Ta -0.180 -6.231 1.723
```

ρ in g/cm3: 10.50
SG: I4mm

=====

b | Material: TaInAs
Method: DFT, GGA-PBE
State: relaxed

extended XYZ file:
```
3
Lattice="7.532 -0.013 0.010 6.762 2.927 0.022 0.770 -0.641 2.870" Properties=species:S:1:pos:R:3 pbc="T T T"
As 1.118 -0.549 2.797
In 5.098 0.497 1.962
Ta 9.619 1.685 1.013
```

ρ in g/cm3: 9.69
SG: Fmm2

=====

c | Material: TaInAs
Method: DFT, GGA-PBE
State: relaxed

extended XYZ file:
```
3
Lattice="3.221 0.000 0.000 -1.610 2.789 0.000 0.000 0.000 6.764" Properties=species:S:1:pos:R:3 pbc="T T T"
As 0.000 0.000 6.538
In 1.610 0.930 2.310
Ta 0.000 1.860 4.680
```

ρ in g/cm3: 10.13
SG: P3m1

=====

d | Material: TaInAs
Method: DFT, GGA-PBE
State: relaxed

extended XYZ file:
```
3
Lattice="-3.628 5.112 3.542 -6.346 3.311 0.783 4.426 -5.640 -0.677" Properties=species:S:1:pos:R:3 pbc="T T T"
As -0.255 0.216 0.111
In -3.163 2.671 1.372
Ta -6.556 5.537 2.843
```

ρ in g/cm3: 9.81
SG: I4mm

=====

Which structure wins on stability? a wins.

=====

a | Material: TaInAs
Method: DFT, GGA-PBE
State: relaxed

extended XYZ file:
```
3
Lattice="4.721 0.000 0.000 -2.361 4.089 0.000 0.000 0.000 3.035" Properties=species:S:1:pos:R:3 pbc="T T T"
As 0.000 0.000 2.529
In 2.361 1.363 1.012
Ta 0.000 2.726 2.530
```

ρ in g/cm3: 10.51
SG: P-6m2

=====

b | Material: TaInAs
Method: DFT, GGA-PBE
State: relaxed

extended XYZ file:
```
3
Lattice="-4.282 1.394 0.935 -3.536 -2.882 -0.588 -2.222 -1.690 3.655" Properties=species:S:1:pos:R:3 pbc="T T T"
As 0.000 0.000 0.000
In -5.020 -1.589 2.001
Ta -7.530 -2.383 3.001
```

ρ in g/cm3: 8.95
SG: F-43m

=====

Which structure wins on stability? a wins.